Entry from Alexandria: a relaxed FeReBO crystal (PBE+U).

Structure (extended XYZ):
```
12
Lattice="3.081 0.000 0.000 -1.540 2.668 0.000 0.000 0.000 17.276" Properties=species:S:1:pos:R:3 pbc="T T T"
Re 0.000 0.000 12.282
Re 0.000 1.779 6.524
Re 1.540 0.889 0.765
B 0.000 0.000 1.855
B 0.000 1.779 13.372
B 1.540 0.889 7.613
Fe 0.000 0.000 14.968
Fe 0.000 1.779 9.209
Fe 1.540 0.889 3.451
O 0.000 0.000 10.252
O 0.000 1.779 4.494
O 1.540 0.889 16.011
```

Calculated values
Offset from the most stable computed form ... 0.0 kJ per mole of atoms
Spin magnetization ... 11.19 μB/cell
Crystal system ... trigonal
Space group ... R3m, No. 160
N(E_F) ... 0.349 states/eV per atom